PBE PaV3Ge2, relaxed; ΔE_f = -0.33 eV per atom; density = 8.7 g/cm³; electronic total energy = -8.008 eV/atom; crystal system = monoclinic
1.0
6.772 -2.090 0.000
6.772 2.090 0.000
-3.606 0.000 7.164
Pa V Ge
2 6 4
direct
0.152 0.152 0.055
0.848 0.848 0.945
0.043 0.043 0.367
0.312 0.312 0.519
0.425 0.425 0.343
0.575 0.575 0.657
0.688 0.688 0.481
0.957 0.957 0.633
0.190 0.190 0.706
0.470 0.470 0.834
0.530 0.530 0.166
0.810 0.810 0.294



PBE TbScH, relaxed; density = 6.1 g/cm³; electronic total energy = -4.970 eV/atom; energy relative to the lowest polymorph listed for this composition = 107 meV/atom; crystal system = trigonal
1.0
1.713 0.989 10.990
-1.713 0.989 10.990
0.000 -1.978 10.990
Tb Sc H
2 2 2
direct
0.121 0.121 0.121
0.879 0.879 0.879
0.293 0.293 0.293
0.707 0.707 0.707
0.409 0.409 0.409
0.591 0.591 0.591



PBE NaZn6Cu2, relaxed; ΔE_f = 0.28 eV per atom; density = 4.7 g/cm³; electronic total energy = -1.623 eV/atom; crystal system = cubic
1.0
0.000 5.767 5.767
5.767 0.000 5.767
5.767 5.767 0.000
Na Zn Cu
2 12 4
direct
0.125 0.125 0.125
0.875 0.875 0.875
0.143 0.143 0.607
0.143 0.607 0.143
0.143 0.607 0.607
0.393 0.393 0.857
0.393 0.857 0.393
0.393 0.857 0.857
0.607 0.143 0.143
0.607 0.143 0.607
0.607 0.607 0.143
0.857 0.393 0.393
0.857 0.393 0.857
0.857 0.857 0.393
0.000 0.500 0.500
0.500 0.000 0.500
0.500 0.500 0.000
0.500 0.500 0.500



PBE Rb4SBrF, relaxed; formation energy without anion corrections = -1.61 eV/atom; density = 2.8 g/cm³; electronic total energy = -3.262 eV/atom; crystal system = monoclinic
1.0
8.031 0.000 0.000
0.000 7.484 0.000
-3.074 0.000 9.250
Rb S Br F
8 2 2 2
direct
0.006 0.003 0.283
0.006 0.497 0.283
0.452 0.250 0.575
0.453 0.250 0.149
0.547 0.750 0.851
0.548 0.750 0.425
0.994 0.503 0.717
0.994 0.997 0.717
0.225 0.750 0.559
0.775 0.250 0.441
0.269 0.750 0.063
0.731 0.250 0.937
0.241 0.250 0.303
0.759 0.750 0.697